Entry 1:
Here is a relaxed Tm2TaTl crystal from the Alexandria database. Energies are from PBE.

Properties
symmetry	No. 166
calculated volume	25.5	Å³/atom
size of the total moment	0.75	μB/f.u.
E	-21.1	eV per cell
calculated formation energy	511	meV/atom

Cell lengths 3.2243, 3.2243, 11.4907 Å; angles 81.93, 81.93, 60.00 degrees
Closest atoms and distances in Å follow each position.
Fractional coordinates of all 4 atoms:
Tl1 0.5000 0.5000 0.5000  6 Tl 3.22, 6 Tm 3.30
Tm1 0.0865 0.0865 0.7406  1 Ta 2.94, 6 Tm 3.22
Tm2 0.9135 0.9135 0.2594  1 Ta 2.94, 6 Tm 3.22
Ta1 0.0000 0.0000 0.0000  2 Tm 2.94, 6 Ta 3.22

=====

Entry 2:
Here is a relaxed TaTlV3 crystal from the Alexandria database. Energies are from PBE.

Properties
symmetry	No. 221
calculated volume	23.1	Å³/atom
size of the total moment	6.41	μB/f.u.
E	-30.7	eV per cell
calculated formation energy	2168	meV/atom
distance to the lowest polymorph of the same formula	791	meV/atom

Cell lengths 4.8725, 4.8725, 4.8725 Å; angles 90.00, 90.00, 90.00 degrees
Closest atoms and distances in Å follow each position.
Fractional coordinates of all 5 atoms:
Tl1 0.0000 0.0000 0.0000  6 V 2.44
Ta1 0.5000 0.5000 0.5000  12 V 3.45
V1 0.0000 0.5000 0.0000  2 Tl 2.44
V2 0.0000 0.0000 0.5000  2 Tl 2.44
V3 0.5000 0.0000 0.0000  2 Tl 2.44

=====

Entry 3:
Here is a relaxed TaTlV3 crystal from the Alexandria database. Energies are from PBE.

Properties
symmetry	No. 221
calculated volume	20.3	Å³/atom
size of the total moment	0.00	μB/f.u.
E	-34.7	eV per cell
calculated formation energy	1377	meV/atom
distance to the lowest polymorph of the same formula	0	meV/atom

Cell lengths 4.6684, 4.6684, 4.6684 Å; angles 90.00, 90.00, 90.00 degrees
Closest atoms and distances in Å follow each position.
Fractional coordinates of all 5 atoms:
Tl1 0.5000 0.5000 0.5000  12 V 3.30
Ta1 0.0000 0.0000 0.0000  6 V 2.33
V1 0.0000 0.5000 0.0000  2 Ta 2.33
V2 0.0000 0.0000 0.5000  2 Ta 2.33
V3 0.5000 0.0000 0.0000  2 Ta 2.33

=====

Entry 4:
Here is a relaxed Ta2TlV crystal from the Alexandria database. Energies are from PBE.

Properties
symmetry	No. 122
calculated volume	19.7	Å³/atom
size of the total moment	0.48	μB/f.u.
E	-63.3	eV per cell
calculated formation energy	887	meV/atom
distance to the lowest polymorph of the same formula	358	meV/atom

Cell lengths 3.9522, 3.9522, 10.4904 Å; angles 79.14, 79.14, 90.00 degrees
Closest atoms and distances in Å follow each position.
Fractional coordinates of all 8 atoms:
Tl1 0.0000 0.0000 0.0000  4 V 2.79, 4 Ta 2.90
Tl2 0.7500 0.2500 0.5000  4 V 2.79, 4 Ta 2.90
Ta1 0.6157 0.1250 0.2500  4 Ta 2.74-2.85, 2 V 2.88, 2 Tl 2.90
Ta2 0.1343 0.6250 0.2500  4 Ta 2.74-2.85, 2 V 2.88, 2 Tl 2.90
Ta3 0.3750 0.3843 0.7500  4 Ta 2.74-2.85, 2 V 2.88, 2 Tl 2.90
Ta4 0.8750 0.8657 0.7500  4 Ta 2.74-2.85, 2 V 2.88, 2 Tl 2.90
V1 0.5000 0.5000 0.0000  4 Tl 2.79, 4 Ta 2.88
V2 0.2500 0.7500 0.5000  4 Tl 2.79, 4 Ta 2.88

=====

Entry 5:
Here is a relaxed TaTl3V crystal from the Alexandria database. Energies are from PBE.

Properties
symmetry	No. 221
calculated volume	27.9	Å³/atom
size of the total moment	2.14	μB/f.u.
E	-20.8	eV per cell
calculated formation energy	1457	meV/atom

Cell lengths 5.1851, 5.1851, 5.1851 Å; angles 90.00, 90.00, 90.00 degrees
Closest atoms and distances in Å follow each position.
Fractional coordinates of all 5 atoms:
Tl1 0.0000 0.5000 0.0000  2 V 2.59
Tl2 0.0000 0.0000 0.5000  2 V 2.59
Tl3 0.5000 0.0000 0.0000  2 V 2.59
Ta1 0.5000 0.5000 0.5000  12 Tl 3.67
V1 0.0000 0.0000 0.0000  6 Tl 2.59

=====

Entry 6:
Here is a relaxed Ta2TlV crystal from the Alexandria database. Energies are from PBE.

Properties
symmetry	No. 225
calculated volume	18.1	Å³/atom
size of the total moment	0.00	μB/f.u.
E	-33.1	eV per cell
calculated formation energy	530	meV/atom
distance to the lowest polymorph of the same formula	0	meV/atom

Cell lengths 4.6813, 4.6813, 4.6813 Å; angles 60.00, 60.00, 60.00 degrees
Closest atoms and distances in Å follow each position.
Fractional coordinates of all 4 atoms:
Tl1 0.5000 0.5000 0.5000  8 Ta 2.87
Ta1 0.2500 0.2500 0.2500  4 Tl 2.87, 4 V 2.87
Ta2 0.7500 0.7500 0.7500  4 Tl 2.87, 4 V 2.87
V1 0.0000 0.0000 0.0000  8 Ta 2.87

=====

Entry 7:
Here is a relaxed TaTlV2 crystal from the Alexandria database. Energies are from PBE.

Properties
symmetry	No. 225
calculated volume	16.7	Å³/atom
size of the total moment	0.00	μB/f.u.
E	-31.0	eV per cell
calculated formation energy	375	meV/atom
distance to the lowest polymorph of the same formula	0	meV/atom

Cell lengths 4.5585, 4.5585, 4.5585 Å; angles 60.00, 60.00, 60.00 degrees
Closest atoms and distances in Å follow each position.
Fractional coordinates of all 4 atoms:
Tl1 0.5000 0.5000 0.5000  8 V 2.79
Ta1 0.0000 0.0000 0.0000  8 V 2.79
V1 0.2500 0.2500 0.2500  4 Ta 2.79, 4 Tl 2.79
V2 0.7500 0.7500 0.7500  4 Tl 2.79, 4 Ta 2.79

=====

Entry 8:
Here is a relaxed TaTlV2 crystal from the Alexandria database. Energies are from PBE.

Properties
symmetry	No. 122
calculated volume	18.5	Å³/atom
size of the total moment	0.01	μB/f.u.
E	-57.4	eV per cell
calculated formation energy	945	meV/atom
distance to the lowest polymorph of the same formula	570	meV/atom

Cell lengths 7.2753, 7.2753, 5.8568 Å; angles 51.60, 51.60, 90.00 degrees
Closest atoms and distances in Å follow each position.
Fractional coordinates of all 8 atoms:
Tl1 0.0000 0.0000 0.0000  4 V 2.77, 2 Ta 2.80
Tl2 0.7500 0.2500 0.5000  4 V 2.77, 2 Ta 2.80
Ta1 0.5000 0.5000 0.0000  4 V 2.57, 2 Tl 2.80
Ta2 0.2500 0.7500 0.5000  4 V 2.57, 2 Tl 2.80
V1 0.6043 0.1250 0.2500  2 Ta 2.57, 2 Tl 2.77, 2 V 2.82
V2 0.1457 0.6250 0.2500  2 Ta 2.57, 2 Tl 2.77, 2 V 2.82
V3 0.3750 0.3957 0.7500  2 Ta 2.57, 2 Tl 2.77, 2 V 2.82
V4 0.8750 0.8543 0.7500  2 Ta 2.57, 2 Tl 2.77, 2 V 2.82

=====

Entry 9:
Here is a relaxed YTaTl2V crystal from the Alexandria database. Energies are from PBE.

Properties
symmetry	No. 123
calculated volume	27.1	Å³/atom
size of the total moment	1.00	μB/f.u.
E	-28.4	eV per cell
calculated formation energy	752	meV/atom

Cell lengths 5.4527, 4.5547, 5.4527 Å; angles 90.00, 90.00, 90.00 degrees
Closest atoms and distances in Å follow each position.
Fractional coordinates of all 5 atoms:
Y1 0.5000 0.5000 0.5000  8 Tl 3.55, 4 V 3.86
Tl1 0.0000 0.0000 0.5000  2 Ta 2.73
Tl2 0.5000 0.0000 0.0000  2 Ta 2.73
V1 0.0000 0.5000 0.0000  2 Ta 2.28
Ta1 0.0000 0.0000 0.0000  2 V 2.28

=====

Entry 10:
Here is a relaxed Ta2TlW crystal from the Alexandria database. Energies are from PBE.

Properties
symmetry	No. 123
calculated volume	18.8	Å³/atom
size of the total moment	0.00	μB/f.u.
E	-37.8	eV per cell
calculated formation energy	299	meV/atom
distance to the lowest polymorph of the same formula	20	meV/atom

Cell lengths 3.3789, 3.3789, 6.5796 Å; angles 90.00, 90.00, 90.00 degrees
Closest atoms and distances in Å follow each position.
Fractional coordinates of all 4 atoms:
Ta1 0.0000 0.0000 0.9701  4 W 2.79, 1 Ta 2.90, 4 Tl 3.02
Ta2 0.0000 0.0000 0.5299  4 W 2.79, 1 Ta 2.90, 4 Tl 3.02
Tl1 0.5000 0.5000 0.2500  8 Ta 3.02, 2 W 3.29
W1 0.5000 0.5000 0.7500  8 Ta 2.79

=====

Entry 11:
Here is a relaxed Ta2TlW crystal from the Alexandria database. Energies are from PBE.

Properties
symmetry	No. 216
calculated volume	18.6	Å³/atom
size of the total moment	0.00	μB/f.u.
E	-36.5	eV per cell
calculated formation energy	629	meV/atom
distance to the lowest polymorph of the same formula	350	meV/atom

Cell lengths 4.7185, 4.7185, 4.7185 Å; angles 60.00, 60.00, 60.00 degrees
Closest atoms and distances in Å follow each position.
Fractional coordinates of all 4 atoms:
Ta1 0.0000 0.0000 0.0000  4 Ta 2.89, 4 W 2.89
Ta2 0.7500 0.7500 0.7500  4 Ta 2.89, 4 Tl 2.89
Tl1 0.5000 0.5000 0.5000  4 W 2.89, 4 Ta 2.89
W1 0.2500 0.2500 0.2500  4 Ta 2.89, 4 Tl 2.89

=====

Entry 12:
Here is a relaxed Ta2TlW crystal from the Alexandria database. Energies are from PBE.

Properties
symmetry	No. 122
calculated volume	20.8	Å³/atom
size of the total moment	0.00	μB/f.u.
E	-69.8	eV per cell
calculated formation energy	1028	meV/atom
distance to the lowest polymorph of the same formula	749	meV/atom

Cell lengths 7.6612, 7.6612, 6.1112 Å; angles 51.18, 51.18, 90.00 degrees
Closest atoms and distances in Å follow each position.
Fractional coordinates of all 8 atoms:
Tl1 0.0000 0.0000 0.0000  2 W 2.83, 4 Ta 3.01
Tl2 0.7500 0.2500 0.5000  2 W 2.83, 4 Ta 3.01
W1 0.5000 0.5000 0.0000  4 Ta 2.61, 2 Tl 2.83
W2 0.2500 0.7500 0.5000  4 Ta 2.61, 2 Tl 2.83
Ta1 0.5867 0.1250 0.2500  2 W 2.61, 2 Ta 2.89
Ta2 0.1633 0.6250 0.2500  2 W 2.61, 2 Ta 2.89
Ta3 0.3750 0.4133 0.7500  2 W 2.61, 2 Ta 2.89
Ta4 0.8750 0.8367 0.7500  2 W 2.61, 2 Ta 2.89